1.
A plane-wave DFT calculation with GGA-PBE was carried out for an optimized crystal structure of ScZnW.

Unit cell a=4.729 b=4.729 c=2.683 alpha=90.00 beta=90.00 gamma=120.00
Atoms (fractional coordinates):
Sc1 0.000 0.000 0.988
W1 0.667 0.333 0.442
Zn1 0.333 0.667 0.569

Properties
density of states at the Fermi level	3.11	states/eV/f.u.
raw total energy	-6.582	eV/atom
volume	17.3	Å³/atom
energy relative to the lowest polymorph listed for this composition	0.170	eV per atom
formation energy from the elements	270.7	meV per atom

=====

2.
A plane-wave DFT calculation with GGA-PBE was carried out for an optimized crystal structure of Sc2ZnW.

Unit cell a=5.242 b=5.242 c=5.242 alpha=134.04 beta=134.04 gamma=67.03
Atoms (fractional coordinates):
Sc1 0.000 0.000 0.000
Sc2 0.250 0.750 0.500
W1 0.500 0.500 0.000
Zn1 0.750 0.250 0.500

Properties
density of states at the Fermi level	1.66	states/eV/f.u.
raw total energy	-6.610	eV/atom
volume	18.3	Å³/atom
formation energy from the elements	113.0	meV per atom

=====

3.
A plane-wave DFT calculation with GGA-PBE was carried out for an optimized crystal structure of ScZnW3.

Unit cell a=4.630 b=4.630 c=4.630 alpha=90.00 beta=90.00 gamma=90.00
Atoms (fractional coordinates):
Sc1 0.000 0.000 0.000
Zn1 0.500 0.500 0.500
W1 0.000 0.500 0.000
W2 0.000 0.000 0.500
W3 0.500 0.000 0.000

Properties
density of states at the Fermi level	5.90	states/eV/f.u.
raw total energy	-6.854	eV/atom
volume	19.8	Å³/atom
energy relative to the lowest polymorph listed for this composition	0.819	eV per atom
formation energy from the elements	2438.6	meV per atom

=====

4.
A plane-wave DFT calculation with GGA-PBE was carried out for an optimized crystal structure of ScZnW2.

Unit cell a=2.738 b=2.738 c=9.048 alpha=90.00 beta=90.00 gamma=99.44
Atoms (fractional coordinates):
Sc1 0.500 0.500 0.750
W1 0.000 0.000 0.016
W2 0.000 0.000 0.484
Zn1 0.500 0.500 0.250

Properties
density of states at the Fermi level	1.58	states/eV/f.u.
raw total energy	-8.118	eV/atom
volume	16.7	Å³/atom
formation energy from the elements	260.3	meV per atom

=====

5.
A plane-wave DFT calculation with GGA-PBE was carried out for an optimized crystal structure of ScZnW.

Unit cell a=5.276 b=5.276 c=5.276 alpha=147.74 beta=138.42 gamma=53.58
Atoms (fractional coordinates):
Sc1 0.000 0.000 0.000
W1 0.678 0.678 0.000
Zn1 0.322 0.322 0.000

Properties
density of states at the Fermi level	1.97	states/eV/f.u.
raw total energy	-6.670	eV/atom
volume	17.2	Å³/atom
energy relative to the lowest polymorph listed for this composition	0.083	eV per atom
formation energy from the elements	183.2	meV per atom

=====

6.
A plane-wave DFT calculation with GGA-PBE was carried out for an optimized crystal structure of ScZn2W.

Unit cell a=4.885 b=4.885 c=2.862 alpha=90.00 beta=90.00 gamma=109.16
Atoms (fractional coordinates):
Sc1 0.500 0.000 0.500
W1 0.000 0.500 0.500
Zn1 0.000 0.000 0.000
Zn2 0.500 0.500 0.000

Properties
density of states at the Fermi level	2.20	states/eV/f.u.
raw total energy	-5.409	eV/atom
volume	16.1	Å³/atom
energy relative to the lowest polymorph listed for this composition	0.000	eV per atom
formation energy from the elements	48.8	meV per atom

=====

7.
A plane-wave DFT calculation with GGA-PBE was carried out for an optimized crystal structure of Sc2ZnW.

Unit cell a=2.873 b=2.873 c=8.953 alpha=90.00 beta=90.00 gamma=90.00
Atoms (fractional coordinates):
Sc1 0.000 0.000 0.999
Sc2 0.000 0.000 0.501
W1 0.500 0.500 0.250
Zn1 0.500 0.500 0.750

Properties
density of states at the Fermi level	3.80	states/eV/f.u.
raw total energy	-6.694	eV/atom
volume	18.5	Å³/atom
formation energy from the elements	28.2	meV per atom

=====

8.
A plane-wave DFT calculation with GGA-PBE was carried out for an optimized crystal structure of Sc2ZnW.

Unit cell a=5.019 b=5.019 c=5.278 alpha=79.29 beta=79.29 gamma=34.65
Atoms (fractional coordinates):
Sc1 0.996 0.996 0.998
Sc2 0.504 0.504 0.502
W1 0.750 0.750 0.750
Zn1 0.250 0.250 0.250

Properties
density of states at the Fermi level	3.99	states/eV/f.u.
raw total energy	-6.490	eV/atom
volume	18.5	Å³/atom
formation energy from the elements	232.9	meV per atom

=====

9.
A plane-wave DFT calculation with GGA-PBE was carried out for an optimized crystal structure of ScZn2W.

Unit cell a=9.470 b=9.470 c=9.470 alpha=17.62 beta=17.62 gamma=17.62
Atoms (fractional coordinates):
Sc1 0.250 0.250 0.250
W1 0.750 0.750 0.750
Zn1 0.004 0.004 0.004
Zn2 0.496 0.496 0.496

Properties
density of states at the Fermi level	4.75	states/eV/f.u.
raw total energy	-5.220	eV/atom
volume	17.0	Å³/atom
energy relative to the lowest polymorph listed for this composition	0.190	eV per atom
formation energy from the elements	238.6	meV per atom

=====

10.
A plane-wave DFT calculation with GGA-PBE was carried out for an optimized crystal structure of ScZn2W.

Unit cell a=4.579 b=4.579 c=4.579 alpha=60.00 beta=60.00 gamma=60.00
Atoms (fractional coordinates):
Sc1 0.500 0.500 0.500
W1 0.750 0.750 0.750
Zn1 0.000 0.000 0.000
Zn2 0.250 0.250 0.250

Properties
density of states at the Fermi level	5.75	states/eV/f.u.
raw total energy	-4.999	eV/atom
volume	17.0	Å³/atom
energy relative to the lowest polymorph listed for this composition	0.410	eV per atom
formation energy from the elements	458.9	meV per atom

=====

11.
A plane-wave DFT calculation with GGA-PBE was carried out for an optimized crystal structure of ScZn2W.

Unit cell a=3.930 b=3.930 c=10.036 alpha=78.71 beta=78.71 gamma=90.00
Atoms (fractional coordinates):
Sc1 0.500 0.500 0.000
Sc2 0.250 0.750 0.500
Zn1 0.669 0.125 0.250
Zn2 0.081 0.625 0.250
Zn3 0.375 0.331 0.750
Zn4 0.875 0.919 0.750
W1 0.000 0.000 0.000
W2 0.750 0.250 0.500

Properties
density of states at the Fermi level	4.48	states/eV/f.u.
raw total energy	-4.836	eV/atom
volume	18.6	Å³/atom
energy relative to the lowest polymorph listed for this composition	0.574	eV per atom
formation energy from the elements	622.6	meV per atom

=====

12.
A plane-wave DFT calculation with GGA-PBE was carried out for an optimized crystal structure of ScZnW2.

Unit cell a=2.741 b=2.741 c=8.950 alpha=90.00 beta=90.00 gamma=90.00
Atoms (fractional coordinates):
Sc1 0.500 0.500 0.744
W1 0.000 0.000 0.004
W2 0.500 0.500 0.262
Zn1 0.000 0.000 0.490

Properties
density of states at the Fermi level	2.56	states/eV/f.u.
raw total energy	-8.150	eV/atom
volume	16.8	Å³/atom
formation energy from the elements	227.7	meV per atom